Record 1
## ZnIn17Ga11 (GGA-PBE)

Data for a relaxed ZnIn17Ga11 crystal.

Results
The space group is No. 8. The calculation puts the calculated density at 6.674 g cm⁻³. The value obtained for the spin magnetization is 0.00 μB/cell. Its calculated total energy is -80.1 eV/cell. For the energy of formation, the calculation gives 35 meV per atom.

a b c (Å): 9.2194 9.2194 9.2150
angles (deg): 104.39 104.39 104.56
Last column: nearest neighbours and their distance in Å.
Fractional coordinates of all 29 atoms:
Zn (0.0000, 0.0000, 0.0000)  3 Ga 2.72-2.78, 4 In 3.00-3.03
In (0.0392, 0.2725, 0.8729)  3 Ga 3.00-3.25, 1 Zn 3.00, 2 In 3.17-3.21
In (0.0412, 0.3904, 0.5783)  6 In 3.09-3.23, 4 Ga 3.30-3.42
In (0.0441, 0.3186, 0.2312)  2 Ga 2.99-3.02, 1 Zn 3.03, 4 In 3.09-3.23
In (0.0440, 0.6891, 0.4714)  4 Ga 2.99-3.21, 2 In 3.14-3.21
In (0.0464, 0.0464, 0.5135)  3 Ga 2.99-3.06, 4 In 3.09-3.21
In (0.0459, 0.6742, 0.8625)  1 Zn 3.13, 7 Ga 3.15-3.34, 3 In 3.19-3.45
In (0.2725, 0.0392, 0.8729)  3 Ga 3.00-3.25, 1 Zn 3.00, 2 In 3.17-3.21
In (0.2819, 0.6872, 0.2336)  4 Ga 2.99-3.19, 2 In 3.14-3.23
In (0.3186, 0.0441, 0.2312)  2 Ga 2.99-3.02, 1 Zn 3.03, 4 In 3.09-3.23
In (0.3873, 0.3873, 0.2238)  6 In 3.09-3.24, 4 Ga 3.37
In (0.3904, 0.0412, 0.5783)  6 In 3.09-3.23, 4 Ga 3.30-3.42
In (0.3918, 0.3918, 0.5776)  4 In 3.23-3.31, 6 Ga 3.24-3.27
In (0.6724, 0.6724, 0.2348)  8 Ga 3.17-3.37, 4 In 3.18-3.52
In (0.6742, 0.0459, 0.8625)  1 Zn 3.13, 7 Ga 3.15-3.34, 3 In 3.19-3.45
In (0.6830, 0.6830, 0.8742)  11 Ga 3.25-3.32, 1 Zn 3.28, 4 In 3.31-3.39
In (0.6872, 0.2819, 0.2336)  4 Ga 2.99-3.19, 2 In 3.14-3.23
In (0.6891, 0.0440, 0.4714)  4 Ga 2.99-3.21, 2 In 3.14-3.21
Ga (0.0045, 0.8121, 0.1933)  1 Zn 2.78, 2 Ga 2.78-2.81, 4 In 3.02-3.06
Ga (0.3386, 0.5276, 0.9165)  3 Ga 2.76-2.91, 1 In 3.00
Ga (0.3436, 0.7314, 0.7209)  3 Ga 2.75-2.91, 1 In 2.99
Ga (0.4840, 0.8632, 0.0547)  3 Ga 2.78-2.85, 1 In 2.99
Ga (0.5276, 0.3386, 0.9165)  3 Ga 2.76-2.91, 1 In 3.00
Ga (0.5329, 0.7302, 0.5323)  3 Ga 2.75-2.88, 1 In 2.99
Ga (0.7302, 0.5329, 0.5323)  3 Ga 2.75-2.88, 1 In 2.99
Ga (0.7314, 0.3436, 0.7209)  3 Ga 2.75-2.91, 1 In 2.99
Ga (0.8121, 0.0045, 0.1933)  1 Zn 2.78, 2 Ga 2.78-2.81, 4 In 3.02-3.06
Ga (0.8632, 0.4840, 0.0547)  3 Ga 2.78-2.85, 1 In 2.99
Ga (0.8669, 0.8669, 0.6785)  1 Zn 2.72, 2 Ga 2.83, 1 In 2.99

---

Record 2
## Tl2FeTcTe (GGA-PBE)

Data for a relaxed Tl2FeTcTe crystal.

Results
The uncorrected formation energy is 0.84 eV/atom. The space group is No. 123. The calculation puts the calculated density at 8.563 g cm⁻³. The value obtained for the spin magnetization is 2.75 μB/cell. Its calculated total energy is -22.5 eV/cell.

a b c (Å): 5.4161 5.4161 4.5626
angles (deg): 90.00 90.00 90.00
Last column: nearest neighbours and their distance in Å.
Fractional coordinates of all 5 atoms:
Tl (0.0000, 0.5000, 0.0000)  2 Tc 2.71
Tl (0.5000, 0.0000, 0.0000)  2 Tc 2.71
Fe (0.0000, 0.0000, 0.5000)  2 Tc 2.28
Tc (0.0000, 0.0000, 0.0000)  2 Fe 2.28
Te (0.5000, 0.5000, 0.5000)  8 Tl 3.54, 4 Fe 3.83

---

Record 3
## GaCuTe (GGA-PBE)

Data for a relaxed GaCuTe crystal.

Results
The uncorrected formation energy is -0.11 eV/atom. The space group is No. 8. The calculation puts the calculated density at 6.411 g cm⁻³. The value obtained for the spin magnetization is 0.00 μB/cell. Its calculated total energy is -21.2 eV/cell. The relative energy among the computed polymorphs comes out at 0.093 eV/f.u.

a b c (Å): 6.8722 6.8722 4.6767
angles (deg): 91.61 91.61 37.74
Last column: nearest neighbours and their distance in Å.
Fractional coordinates of all 6 atoms:
Ga (0.0000, 0.0000, 0.0000)  1 Ga 2.57, 2 Te 2.79
Ga (0.1409, 0.1409, 0.3975)  4 Cu 2.47-2.69, 1 Ga 2.57
Cu (0.2246, 0.2246, 0.8793)  2 Ga 2.47-2.69, 2 Cu 2.57, 2 Te 2.63
Cu (0.6806, 0.6806, 0.6306)  2 Ga 2.52, 2 Cu 2.57, 3 Te 2.66-2.73
Te (0.4766, 0.4766, 0.6434)  1 Cu 2.66, 2 Ga 2.79
Te (0.7849, 0.7849, 0.1338)  4 Cu 2.63-2.73, 1 Ga 2.89

---

Record 4
## Pb6Au (GGA-PBE)

Data for a relaxed Pb6Au crystal.

Results
The space group is No. 229. The calculation puts the calculated density at 7.702 g cm⁻³. The value obtained for the spin magnetization is 0.00 μB/cell. Its calculated total energy is -21.3 eV/cell. For the energy of formation, the calculation gives 606 meV per atom. The relative energy among the computed polymorphs comes out at 4.039 eV/f.u.

a b c (Å): 7.3885 7.3885 7.3885
angles (deg): 109.47 109.47 109.47
Last column: nearest neighbours and their distance in Å.
Fractional coordinates of all 7 atoms:
Pb (0.2500, 0.5000, 0.7500)  4 Pb 3.02
Pb (0.2500, 0.7500, 0.5000)  4 Pb 3.02
Pb (0.5000, 0.2500, 0.7500)  4 Pb 3.02
Pb (0.5000, 0.7500, 0.2500)  4 Pb 3.02
Pb (0.7500, 0.2500, 0.5000)  4 Pb 3.02
Pb (0.7500, 0.5000, 0.2500)  4 Pb 3.02
Au (0.0000, 0.0000, 0.0000)  24 Pb 4.77

---

Record 5
## Ce2CoRh (GGA-PBE)

Data for a relaxed Ce2CoRh crystal.

Results
The space group is No. 166. The calculation puts the calculated density at 9.725 g cm⁻³. The value obtained for the spin magnetization is 0.48 μB/cell. Its calculated total energy is -25.9 eV/cell. For the energy of formation, the calculation gives 108 meV per atom. The relative energy among the computed polymorphs comes out at 2.437 eV/f.u.

a b c (Å): 9.7403 9.7403 9.7403
angles (deg): 17.81 17.81 17.81
Last column: nearest neighbours and their distance in Å.
Fractional coordinates of all 4 atoms:
Ce (0.0890, 0.0890, 0.0890)  1 Rh 2.56, 3 Co 2.83
Ce (0.9110, 0.9110, 0.9110)  1 Rh 2.56, 3 Co 2.83
Co (0.5000, 0.5000, 0.5000)  6 Ce 2.83, 6 Co 3.02
Rh (0.0000, 0.0000, 0.0000)  2 Ce 2.56

---

Record 6
## Na3GeSe3 (GGA-PBE)

Data for a relaxed Na3GeSe3 crystal.

Results
The uncorrected formation energy is -0.84 eV/atom. The space group is No. 62. The calculation puts the calculated density at 3.519 g cm⁻³. The value obtained for the spin magnetization is 0.00 μB/cell. Its calculated total energy is -99.6 eV/cell. The relative energy among the computed polymorphs comes out at 0.227 eV/f.u.

a b c (Å): 11.7551 4.6257 13.1383
angles (deg): 90.00 90.00 90.00
Last column: nearest neighbours and their distance in Å.
Fractional coordinates of all 28 atoms:
Na (0.0531, 0.2500, 0.1051)  6 Se 3.01-3.27
Na (0.1602, 0.7500, 0.4910)  4 Se 3.03-3.09
Na (0.2356, 0.7500, 0.7846)  5 Se 2.96-3.20, 2 Ge 3.30
Na (0.2644, 0.2500, 0.2846)  5 Se 2.96-3.20, 2 Ge 3.30
Na (0.3398, 0.2500, 0.9910)  4 Se 3.03-3.09
Na (0.4469, 0.7500, 0.6051)  6 Se 3.01-3.27
Na (0.5531, 0.2500, 0.3949)  6 Se 3.01-3.27
Na (0.6602, 0.7500, 0.0090)  4 Se 3.03-3.09
Na (0.7356, 0.7500, 0.7154)  5 Se 2.96-3.20, 2 Ge 3.30
Na (0.7644, 0.2500, 0.2154)  5 Se 2.96-3.20, 2 Ge 3.30
Na (0.8398, 0.2500, 0.5090)  4 Se 3.03-3.09
Na (0.9469, 0.7500, 0.8949)  6 Se 3.01-3.27
Ge (0.0630, 0.2500, 0.6945)  4 Se 2.44-2.56
Ge (0.4370, 0.7500, 0.1945)  4 Se 2.44-2.56
Ge (0.5630, 0.2500, 0.8055)  4 Se 2.44-2.56
Ge (0.9370, 0.7500, 0.3055)  4 Se 2.44-2.56
Se (0.0209, 0.2500, 0.3429)  2 Ge 2.56
Se (0.1096, 0.2500, 0.8776)  1 Ge 2.47
Se (0.2490, 0.7500, 0.1165)  1 Ge 2.44
Se (0.2510, 0.2500, 0.6165)  1 Ge 2.44
Se (0.3904, 0.7500, 0.3776)  1 Ge 2.47
Se (0.4791, 0.7500, 0.8429)  2 Ge 2.56
Se (0.5209, 0.2500, 0.1571)  2 Ge 2.56
Se (0.6096, 0.2500, 0.6224)  1 Ge 2.47
Se (0.7490, 0.7500, 0.3835)  1 Ge 2.44
Se (0.7510, 0.2500, 0.8835)  1 Ge 2.44
Se (0.8904, 0.7500, 0.1224)  1 Ge 2.47
Se (0.9791, 0.7500, 0.6571)  2 Ge 2.56

---

Record 7
## La6MgIr (GGA-PBE)

Data for a relaxed La6MgIr crystal.

Results
The space group is No. 148. The calculation puts the calculated density at 5.844 g cm⁻³. The value obtained for the spin magnetization is 0.00 μB/cell. Its calculated total energy is -40.5 eV/cell. For the energy of formation, the calculation gives -55 meV per atom.

a b c (Å): 7.9809 7.9809 7.9809
angles (deg): 52.74 52.74 52.74
Last column: nearest neighbours and their distance in Å.
Fractional coordinates of all 8 atoms:
La (0.0245, 0.4241, 0.8090)  1 Ir 2.83
La (0.1910, 0.9755, 0.5759)  1 Ir 2.83
La (0.4241, 0.8090, 0.0245)  1 Ir 2.83
La (0.5759, 0.1910, 0.9755)  1 Ir 2.83
La (0.8090, 0.0245, 0.4241)  1 Ir 2.83
La (0.9755, 0.5759, 0.1910)  1 Ir 2.83
Mg (0.5000, 0.5000, 0.5000)  6 La 3.24
Ir (0.0000, 0.0000, 0.0000)  6 La 2.83

---

Record 8
## YAl2Se (GGA-PBE)

Data for a relaxed YAl2Se crystal.

Results
The uncorrected formation energy is -0.30 eV/atom. The space group is No. 123. The calculation puts the calculated density at 4.397 g cm⁻³. The value obtained for the spin magnetization is 0.00 μB/cell. Its calculated total energy is -18.6 eV/cell.

a b c (Å): 3.6134 3.6134 6.4163
angles (deg): 90.00 90.00 90.00
Last column: nearest neighbours and their distance in Å.
Fractional coordinates of all 4 atoms:
Y (0.0000, 0.0000, 0.0000)  8 Al 3.14, 2 Se 3.21
Al (0.5000, 0.5000, 0.2842)  1 Al 2.77, 4 Se 2.91
Al (0.5000, 0.5000, 0.7158)  1 Al 2.77, 4 Se 2.91
Se (0.0000, 0.0000, 0.5000)  8 Al 2.91, 2 Y 3.21

---

Record 9
## BaAsSe2 (GGA-PBE)

Data for a relaxed BaAsSe2 crystal.

Results
The uncorrected formation energy is -1.06 eV/atom. The space group is No. 1. The calculation puts the calculated density at 4.739 g cm⁻³. The value obtained for the spin magnetization is 0.00 μB/cell. Its calculated total energy is -35.5 eV/cell.

a b c (Å): 6.2326 6.5978 7.1109
angles (deg): 117.47 91.04 90.03
Last column: nearest neighbours and their distance in Å.
Fractional coordinates of all 8 atoms:
Ba (0.0000, 0.0000, 0.0000)  7 Se 3.27-3.63
Ba (0.4999, 0.3583, 0.7184)  7 Se 3.27-3.62
As (0.5532, 0.6171, 0.3232)  2 Se 2.41-2.47, 1 As 2.49
As (0.9482, 0.6516, 0.3947)  2 Se 2.41-2.47, 1 As 2.49
Se (0.0049, 0.5001, 0.0101)  1 As 2.47
Se (0.4958, 0.8480, 0.7077)  1 As 2.47
Se (0.5025, 0.2126, 0.1982)  1 As 2.41
Se (0.9975, 0.3706, 0.5187)  1 As 2.41

---

Record 10
## Rb2Tl9Au3 (GGA-PBE)

Data for a relaxed Rb2Tl9Au3 crystal.

Results
The space group is No. 15. The calculation puts the calculated density at 10.289 g cm⁻³. The value obtained for the spin magnetization is 0.00 μB/cell. Its calculated total energy is -68.1 eV/cell. For the energy of formation, the calculation gives -72 meV per atom.

a b c (Å): 9.3720 9.3720 12.7005
angles (deg): 113.24 113.24 57.44
Last column: nearest neighbours and their distance in Å.
Fractional coordinates of all 28 atoms:
Rb (0.1039, 0.2548, 0.2452)  11 Tl 3.59-3.83, 2 Au 3.90-3.91
Rb (0.2548, 0.1039, 0.7452)  11 Tl 3.59-3.83, 2 Au 3.90-3.91
Rb (0.7452, 0.8961, 0.2548)  11 Tl 3.59-3.83, 2 Au 3.90-3.91
Rb (0.8961, 0.7452, 0.7548)  11 Tl 3.59-3.83, 2 Au 3.90-3.91
Tl (0.0038, 0.8813, 0.0847)  2 Au 3.01-3.32
Tl (0.1187, 0.9962, 0.4153)  2 Au 3.01-3.32
Tl (0.1919, 0.3620, 0.5688)  3 Au 3.10-3.13, 4 Tl 3.31-3.41
Tl (0.2234, 0.5792, 0.2531)  2 Au 2.99-3.12, 2 Tl 3.28-3.31
Tl (0.3065, 0.5016, 0.9588)  3 Au 3.13-3.22, 3 Tl 3.34-3.41
Tl (0.3438, 0.6562, 0.7500)  2 Au 3.14, 4 Tl 3.40-3.43
Tl (0.3620, 0.1919, 0.0688)  3 Au 3.10-3.13, 4 Tl 3.31-3.41
Tl (0.4208, 0.7766, 0.2469)  2 Au 2.99-3.12, 2 Tl 3.28-3.31
Tl (0.4984, 0.6935, 0.5412)  3 Au 3.13-3.22, 3 Tl 3.34-3.41
Tl (0.5016, 0.3065, 0.4588)  3 Au 3.13-3.22, 3 Tl 3.34-3.41
Tl (0.5792, 0.2234, 0.7531)  2 Au 2.99-3.12, 2 Tl 3.28-3.31
Tl (0.6380, 0.8081, 0.9312)  3 Au 3.10-3.13, 4 Tl 3.31-3.41
Tl (0.6562, 0.3438, 0.2500)  2 Au 3.14, 4 Tl 3.40-3.43
Tl (0.6935, 0.4984, 0.0412)  3 Au 3.13-3.22, 3 Tl 3.34-3.41
Tl (0.7766, 0.4208, 0.7469)  2 Au 2.99-3.12, 2 Tl 3.28-3.31
Tl (0.8081, 0.6380, 0.4312)  3 Au 3.10-3.13, 4 Tl 3.31-3.41
Tl (0.8813, 0.0038, 0.5847)  2 Au 3.01-3.32
Tl (0.9962, 0.1187, 0.9153)  2 Au 3.01-3.32
Au (0.0000, 0.5000, 0.0000)  8 Tl 3.12-3.32
Au (0.1515, 0.6560, 0.4838)  7 Tl 2.99-3.22
Au (0.3440, 0.8485, 0.0162)  7 Tl 2.99-3.22
Au (0.5000, 0.0000, 0.5000)  8 Tl 3.12-3.32
Au (0.6560, 0.1515, 0.9838)  7 Tl 2.99-3.22
Au (0.8485, 0.3440, 0.5162)  7 Tl 2.99-3.22